## TlTeAu2 (PBE)

Data for a geometry-optimized TlTeAu2 structure.

```
data_TlTeAu2
_symmetry_space_group_name_H-M 'C 1 2/m 1'
_symmetry_Int_Tables_number 12
_cell_length_a 7.5642
_cell_length_b 4.3287
_cell_length_c 6.6762
_cell_angle_alpha 90.00
_cell_angle_beta 111.74
_cell_angle_gamma 90.00
loop_
_symmetry_equiv_pos_as_xyz
'x,y,z'
'-x,-y,-z'
'-x,y,-z'
'x,-y,z'
'x+1/2,y+1/2,z'
'-x+1/2,-y+1/2,-z'
'-x+1/2,y+1/2,-z'
'x+1/2,-y+1/2,z'
loop_
_atom_site_label
_atom_site_type_symbol
_atom_site_fract_x
_atom_site_fract_y
_atom_site_fract_z
Tl1 Tl 0.0000 0.0000 0.0000
Te1 Te 0.0000 0.5000 0.5000
Au1 Au 0.2432 0.0000 0.7283
```

Output
Relative energy among the computed polymorphs = 0.009 eV per atom
Formation energy (no corrections) = -0.01 eV/atom
ρ = 11.87 Mg/m³